# 1
## Sm2SeOF2 (PBE)

Data for a relaxed structure of Sm2SeOF2.

The structure in POSCAR format:
```
Sm2SeOF2
1.0
13.505 0.000 0.000
-6.753 11.696 0.000
0.000 0.000 3.811
Sm Se O F
12 6 6 12
Direct
0.055 0.767 0.250
0.120 0.517 0.250
0.233 0.287 0.250
0.287 0.055 0.750
0.396 0.880 0.250
0.483 0.604 0.250
0.517 0.396 0.750
0.604 0.120 0.750
0.713 0.945 0.250
0.767 0.713 0.750
0.880 0.483 0.750
0.945 0.233 0.750
0.206 0.719 0.750
0.281 0.487 0.750
0.487 0.206 0.250
0.513 0.794 0.750
0.719 0.513 0.250
0.794 0.281 0.250
0.015 0.427 0.750
0.412 0.985 0.750
0.427 0.412 0.250
0.573 0.588 0.750
0.588 0.015 0.250
0.985 0.573 0.250
0.069 0.315 0.250
0.098 0.894 0.750
0.106 0.204 0.750
0.204 0.098 0.250
0.246 0.931 0.250
0.315 0.246 0.750
0.685 0.754 0.250
0.754 0.069 0.750
0.796 0.902 0.750
0.894 0.796 0.250
0.902 0.106 0.250
0.931 0.685 0.750
```

Computed properties:
Calculated volume, Å³/f.u.: 100.34
DFT total energy, Ry per atom: -0.5127
Total moment, μB per formula unit: 0.000
Space-group type: P6_3/m (176)

---

# 2
## PbW2C (PBE)

Data for a relaxed structure of PbW2C.

The structure in POSCAR format:
```
PbW2C
1.0
3.235 0.000 0.000
-1.618 2.802 0.000
0.000 0.000 13.827
Pb W C
2 4 2
Direct
0.333 0.667 0.250
0.667 0.333 0.750
0.333 0.667 0.578
0.333 0.667 0.922
0.667 0.333 0.078
0.667 0.333 0.422
0.000 0.000 0.000
0.000 0.000 0.500
```

Computed properties:
Calculated volume, Å³/f.u.: 62.67
DFT total energy, Ry per atom: -0.6763
Excess energy over the best structure of this formula in the dataset, meV per atom: 37
Total moment, μB per formula unit: 0.009
Space-group type: P6_3/mmc (194)

---

# 3
## LaGdHg6 (PBE)

Data for a relaxed structure of LaGdHg6.

The structure in POSCAR format:
```
LaGdHg6
1.0
6.690 0.000 0.000
-3.345 5.793 0.000
0.000 0.000 5.061
La Gd Hg
1 1 6
Direct
0.000 0.000 0.000
0.333 0.667 0.500
0.000 0.500 0.000
0.343 0.172 0.500
0.500 0.000 0.000
0.500 0.500 0.000
0.828 0.172 0.500
0.828 0.657 0.500
```

Computed properties:
Calculated volume, Å³/f.u.: 196.16
ΔH_f (0 K), eV per atom: -0.388
DFT total energy, Ry per atom: -0.1329
Total moment, μB per formula unit: 0.003
Space-group type: P-6m2 (187)

---

# 4
## PrScTl (PBE)

Data for a relaxed structure of PrScTl.

The structure in POSCAR format:
```
PrScTl
1.0
0.000 3.660 3.660
3.660 0.000 3.660
3.660 3.660 0.000
Pr Sc Tl
1 1 1
Direct
0.000 0.000 0.000
0.750 0.750 0.750
0.250 0.250 0.250
```

Computed properties:
Calculated volume, Å³/f.u.: 98.02
DFT total energy, Ry per atom: -0.2961
Excess energy over the best structure of this formula in the dataset, meV per atom: 753
Total moment, μB per formula unit: 0.457
Space-group type: F-43m (216)

---

# 5
## NaHoNb (PBE)

Data for a relaxed structure of NaHoNb.

The structure in POSCAR format:
```
NaHoNb
1.0
0.000 3.614 3.614
3.614 0.000 3.614
3.614 3.614 0.000
Na Ho Nb
1 1 1
Direct
0.000 0.000 0.000
0.500 0.500 0.500
0.750 0.750 0.750
```

Computed properties:
Calculated volume, Å³/f.u.: 94.37
DFT total energy, Ry per atom: -0.2894
Excess energy over the best structure of this formula in the dataset, meV per atom: 0
Total moment, μB per formula unit: 4.215
Space-group type: F-43m (216)

---

# 6
## LaTcPO (PBE)

Data for a relaxed structure of LaTcPO.

The structure in POSCAR format:
```
LaTcPO
1.0
4.092 0.000 0.000
0.000 4.092 0.000
0.000 0.000 8.468
La Tc P O
2 2 2 2
Direct
0.250 0.250 0.142
0.750 0.750 0.858
0.250 0.750 0.500
0.750 0.250 0.500
0.250 0.250 0.639
0.750 0.750 0.361
0.250 0.750 0.000
0.750 0.250 0.000
```

Computed properties:
Calculated volume, Å³/f.u.: 70.90
DFT total energy, Ry per atom: -0.6145
Excess energy over the best structure of this formula in the dataset, meV per atom: 0
Total moment, μB per formula unit: 0.112
Space-group type: P4/nmm (129)

---

# 7
## KHfSb (PBE)

Data for a relaxed structure of KHfSb.

The structure in POSCAR format:
```
KHfSb
1.0
0.000 3.652 3.652
3.652 0.000 3.652
3.652 3.652 0.000
K Hf Sb
1 1 1
Direct
0.000 0.000 0.000
0.750 0.750 0.750
0.250 0.250 0.250
```

Computed properties:
Calculated volume, Å³/f.u.: 97.42
DFT total energy, Ry per atom: -0.2780
Excess energy over the best structure of this formula in the dataset, meV per atom: 762
Total moment, μB per formula unit: 1.119
Space-group type: F-43m (216)

---

# 8
## Tb2Ga9Co3 (PBE)

Data for a relaxed structure of Tb2Ga9Co3.

The structure in POSCAR format:
```
Tb2Ga9Co3
1.0
6.364 -3.697 0.000
6.364 3.697 0.000
0.000 0.000 9.424
Tb Ga Co
4 18 6
Direct
0.004 0.668 0.750
0.332 0.996 0.750
0.668 0.004 0.250
0.996 0.332 0.250
0.000 0.334 0.572
0.000 0.334 0.928
0.000 0.666 0.072
0.000 0.666 0.428
0.122 0.878 0.250
0.334 0.000 0.072
0.334 0.000 0.428
0.334 0.666 0.558
0.334 0.666 0.942
0.336 0.450 0.250
0.450 0.336 0.750
0.550 0.664 0.250
0.664 0.550 0.750
0.666 0.000 0.572
0.666 0.000 0.928
0.666 0.334 0.058
0.666 0.334 0.442
0.878 0.122 0.750
0.000 0.000 0.000
0.000 0.000 0.500
0.329 0.329 0.000
0.329 0.329 0.500
0.671 0.671 0.000
0.671 0.671 0.500
```

Computed properties:
Calculated volume, Å³/f.u.: 221.70
DFT total energy, Ry per atom: -0.3396
Total moment, μB per formula unit: 0.002
Space-group type: Cmcm (63)

---

Copy entry 4 word for word.
## PrScTl (PBE)

Data for a relaxed structure of PrScTl.

The structure in POSCAR format:
```
PrScTl
1.0
0.000 3.660 3.660
3.660 0.000 3.660
3.660 3.660 0.000
Pr Sc Tl
1 1 1
Direct
0.000 0.000 0.000
0.750 0.750 0.750
0.250 0.250 0.250
```

Computed properties:
Calculated volume, Å³/f.u.: 98.02
DFT total energy, Ry per atom: -0.2961
Excess energy over the best structure of this formula in the dataset, meV per atom: 753
Total moment, μB per formula unit: 0.457
Space-group type: F-43m (216)

---

> Look up the total moment of the fourth one.

0.457 μB per formula unit

---

Please write out number 4 again, unchanged.
## PrScTl (PBE)

Data for a relaxed structure of PrScTl.

The structure in POSCAR format:
```
PrScTl
1.0
0.000 3.660 3.660
3.660 0.000 3.660
3.660 3.660 0.000
Pr Sc Tl
1 1 1
Direct
0.000 0.000 0.000
0.750 0.750 0.750
0.250 0.250 0.250
```

Computed properties:
Calculated volume, Å³/f.u.: 98.02
DFT total energy, Ry per atom: -0.2961
Excess energy over the best structure of this formula in the dataset, meV per atom: 753
Total moment, μB per formula unit: 0.457
Space-group type: F-43m (216)